(1)
Computed, not measured: Mo8P5 after structural relaxation at the GGA-PBEsol level of DFT.

**Energy of formation**: -7.36 eV per formula unit
**Crystal system**: monoclinic

```
data_Mo8P5
_chemical_formula_sum 'Mo8 P5'
_cell_length_a 6.514
_cell_length_b 3.171
_cell_length_c 9.356
_cell_angle_alpha 90.00
_cell_angle_beta 109.40
_cell_angle_gamma 90.00
_space_group_name_H-M_alt 'P 1 m 1'
_space_group_IT_number 6
loop_
_space_group_symop_operation_xyz
'x,y,z'
'x,-y,z'
loop_
_atom_site_label
_atom_site_fract_x
_atom_site_fract_y
_atom_site_fract_z
Mo1 0.000 0.000 0.000
Mo2 0.010 0.000 0.322
Mo3 0.215 0.000 0.753
Mo4 0.339 0.500 0.247
Mo5 0.449 0.000 0.530
Mo6 0.568 0.000 0.057
Mo7 0.607 0.500 0.802
Mo8 0.820 0.500 0.532
P1 0.190 0.500 0.539
P2 0.271 0.500 0.959
P3 0.635 0.000 0.325
P4 0.835 0.000 0.733
P5 0.862 0.500 0.128
```

---

(2)
Computed, not measured: TmSi2Ru2 after structural relaxation at the GGA-PBEsol level of DFT.

**Raw formation energy**: -916 meV per atom
**Crystal system**: tetragonal

```
data_TmSi2Ru2
_chemical_formula_sum 'Tm2 Si4 Ru4'
_cell_length_a 4.118
_cell_length_b 4.118
_cell_length_c 9.407
_cell_angle_alpha 90.00
_cell_angle_beta 90.00
_cell_angle_gamma 90.00
_space_group_name_H-M_alt 'I 4/m m m'
_space_group_IT_number 139
_space_group_name_Hall '-I 4 2'
loop_
_atom_site_label
_atom_site_fract_x
_atom_site_fract_y
_atom_site_fract_z
Tm1 0.000 0.000 0.000
Si1 0.000 0.000 0.370
Ru1 0.000 0.500 0.250
```